This record from the Alexandria database describes a geometry-optimized CrSeNF2 structure. The functional is PBE+U.

abc: 4.544 4.544 3.679
angles: 90.00 90.00 90.00
Each line ends with the local moment (μB).
Element x y z (fractional)
Cr1 0.500 0.500 0.500  4.55
N1 0.000 0.000 0.500  -0.01
Se1 0.000 0.000 0.000  0.00
F1 0.000 0.500 0.000  0.02
F2 0.500 0.000 0.000  0.02

Values from the calculation:
The calculation puts the total energy at -4.728 eV per atom. The calculation puts the total magnetization at 4.900 μB per cell. The density of states at the Fermi level is 0.29 states/eV per atom. Its space group is No. 123.